Record 1
{
  "formula": "KHg3Pt",
  "functional": "PBE-GGA",
  "state": "optimized geometry",
  "sg": "C2/c, No. 15",
  "dos_at_fermi_per_ev_cell": 6.0,
  "formation_enthalpy_0k_mev_per_atom": -112,
  "lattice_angstrom": [[7.1521, -5.3256, 0.0000], [7.1521, 5.3256, 0.0000], [-1.8469, 0.0000, 6.9399]],
  "species": ["K", "K", "K", "K", "Hg", "Hg", "Hg", "Hg", "Hg", "Hg", "Hg", "Hg", "Hg", "Hg", "Hg", "Hg", "Pt", "Pt", "Pt", "Pt"],
  "frac_coords": [[0.0300, 0.9700, 0.7500], [0.3476, 0.6524, 0.2500], [0.6524, 0.3476, 0.7500], [0.9700, 0.0300, 0.2500], [0.0137, 0.3305, 0.0700], [0.0224, 0.3401, 0.6095], [0.3298, 0.3338, 0.9115], [0.3305, 0.0137, 0.5700], [0.3338, 0.3298, 0.4115], [0.3401, 0.0224, 0.1095], [0.6599, 0.9776, 0.8905], [0.6662, 0.6702, 0.5885], [0.6695, 0.9863, 0.4300], [0.6702, 0.6662, 0.0885], [0.9776, 0.6599, 0.3905], [0.9863, 0.6695, 0.9300], [0.2268, 0.5767, 0.6914], [0.4233, 0.7732, 0.8086], [0.5767, 0.2268, 0.1914], [0.7732, 0.4233, 0.3086]]
}

Record 2
{
  "formula": "SrCdFe3",
  "functional": "PBE-GGA",
  "state": "optimized geometry",
  "sg": "Pm-3m, No. 221",
  "dos_at_fermi_per_ev_cell": 7.6,
  "formation_enthalpy_0k_mev_per_atom": 2062,
  "lattice_angstrom": [[4.8069, 0.0000, 0.0000], [0.0000, 4.8069, 0.0000], [0.0000, 0.0000, 4.8069]],
  "species": ["Sr", "Cd", "Fe", "Fe", "Fe"],
  "frac_coords": [[0.0000, 0.0000, 0.0000], [0.5000, 0.5000, 0.5000], [0.0000, 0.0000, 0.5000], [0.0000, 0.5000, 0.0000], [0.5000, 0.0000, 0.0000]]
}

Record 3
{
  "formula": "KZnRh",
  "functional": "PBE-GGA",
  "state": "optimized geometry",
  "sg": "F-43m, No. 216",
  "dos_at_fermi_per_ev_cell": 1.2,
  "formation_enthalpy_0k_mev_per_atom": 619,
  "lattice_angstrom": [[0.0000, 3.2783, 3.2783], [3.2783, 0.0000, 3.2783], [3.2783, 3.2783, 0.0000]],
  "species": ["K", "Zn", "Rh"],
  "frac_coords": [[0.0000, 0.0000, 0.0000], [0.5000, 0.5000, 0.5000], [0.2500, 0.2500, 0.2500]]
}

Record 4
{
  "formula": "La2ZrCo",
  "functional": "PBE-GGA",
  "state": "optimized geometry",
  "sg": "R-3m, No. 166",
  "dos_at_fermi_per_ev_cell": 5.3,
  "formation_enthalpy_0k_mev_per_atom": 210,
  "lattice_angstrom": [[1.8270, 1.0548, 9.0572], [-1.8270, 1.0548, 9.0572], [0.0000, -2.1097, 9.0572]],
  "species": ["La", "La", "Zr", "Co"],
  "frac_coords": [[0.2314, 0.2314, 0.2314], [0.7686, 0.7686, 0.7686], [0.0000, 0.0000, 0.0000], [0.5000, 0.5000, 0.5000]]
}

Record 5
{
  "formula": "CrCo6Si",
  "functional": "PBE-GGA",
  "state": "optimized geometry",
  "sg": "Cmmm, No. 65",
  "e_tot_ev_per_atom": -7.348,
  "dos_at_fermi_per_ev_cell": 33.7,
  "lattice_angstrom": [[3.4675, -4.9184, 0.0000], [3.4675, 4.9184, 0.0000], [0.0000, 0.0000, 9.8456]],
  "species": ["Cr", "Cr", "Cr", "Cr", "Co", "Co", "Co", "Co", "Co", "Co", "Co", "Co", "Co", "Co", "Co", "Co", "Co", "Co", "Co", "Co", "Co", "Co", "Co", "Co", "Co", "Co", "Co", "Co", "Si", "Si", "Si", "Si"],
  "frac_coords": [[0.0000, 0.0000, 0.2462], [0.0000, 0.0000, 0.7538], [0.2451, 0.7549, 0.5000], [0.7549, 0.2451, 0.5000], [0.0000, 0.0000, 0.0000], [0.0000, 0.0000, 0.5000], [0.1235, 0.3746, 0.3762], [0.1235, 0.3746, 0.6238], [0.1245, 0.3728, 0.1261], [0.1245, 0.3728, 0.8739], [0.2489, 0.7511, 0.2524], [0.2489, 0.7511, 0.7476], [0.3728, 0.1245, 0.1261], [0.3728, 0.1245, 0.8739], [0.3746, 0.1235, 0.3762], [0.3746, 0.1235, 0.6238], [0.5000, 0.5000, 0.0000], [0.5000, 0.5000, 0.5000], [0.6254, 0.8765, 0.3762], [0.6254, 0.8765, 0.6238], [0.6272, 0.8755, 0.1261], [0.6272, 0.8755, 0.8739], [0.7511, 0.2489, 0.2524], [0.7511, 0.2489, 0.7476], [0.8755, 0.6272, 0.1261], [0.8755, 0.6272, 0.8739], [0.8765, 0.6254, 0.3762], [0.8765, 0.6254, 0.6238], [0.2462, 0.7538, 0.0000], [0.5000, 0.5000, 0.2484], [0.5000, 0.5000, 0.7516], [0.7538, 0.2462, 0.0000]]
}

Record 6
{
  "formula": "CaSmSn2",
  "functional": "PBE-GGA",
  "state": "optimized geometry",
  "sg": "Amm2, No. 38",
  "dos_at_fermi_per_ev_cell": 2.7,
  "formation_enthalpy_0k_mev_per_atom": -689,
  "lattice_angstrom": [[4.3278, 0.0000, 0.0000], [0.0000, 2.3550, 5.8143], [0.0000, -2.3550, 5.8143]],
  "species": ["Ca", "Sm", "Sn", "Sn"],
  "frac_coords": [[0.0000, 0.0000, 0.0000], [0.5000, 0.2701, 0.2701], [0.0000, 0.7247, 0.7247], [0.5000, 0.5477, 0.5477]]
}

Record 7
{
  "formula": "TaTeSe2",
  "functional": "PBE-GGA",
  "state": "optimized geometry",
  "sg": "Cmcm, No. 63",
  "e_tot_ev_per_atom": -5.980,
  "dos_at_fermi_per_ev_cell": 3.4,
  "lattice_angstrom": [[1.7499, -6.9075, 0.0000], [1.7499, 6.9075, 0.0000], [0.0000, 0.0000, 8.0982]],
  "species": ["Ta", "Ta", "Te", "Te", "Se", "Se", "Se", "Se"],
  "frac_coords": [[0.2401, 0.7599, 0.7500], [0.7599, 0.2401, 0.2500], [0.4202, 0.5798, 0.2500], [0.5798, 0.4202, 0.7500], [0.1596, 0.8404, 0.0688], [0.1596, 0.8404, 0.4312], [0.8404, 0.1596, 0.5688], [0.8404, 0.1596, 0.9312]]
}

Record 8
{
  "formula": "VNi2Te6",
  "functional": "PBE-GGA",
  "state": "optimized geometry",
  "sg": "C2/m, No. 12",
  "e_tot_ev_per_atom": -4.589,
  "dos_at_fermi_per_ev_cell": 4.7,
  "lattice_angstrom": [[6.3408, -1.8815, 0.0000], [6.3408, 1.8815, 0.0000], [-4.6198, 0.0000, 9.7681]],
  "species": ["V", "Ni", "Ni", "Te", "Te", "Te", "Te", "Te", "Te"],
  "frac_coords": [[0.0000, 0.0000, 0.0000], [0.3367, 0.3367, 0.6678], [0.6633, 0.6633, 0.3322], [0.0073, 0.0073, 0.2563], [0.3129, 0.3129, 0.4181], [0.3281, 0.3281, 0.9058], [0.6719, 0.6719, 0.0942], [0.6871, 0.6871, 0.5819], [0.9927, 0.9927, 0.7437]]
}

Record 9
{
  "formula": "La2Co2Ge2H",
  "functional": "PBE-GGA",
  "state": "optimized geometry",
  "sg": "C2/m, No. 12",
  "e_tot_ev_per_atom": -5.789,
  "dos_at_fermi_per_ev_cell": 5.3,
  "lattice_angstrom": [[5.4812, -2.0588, 0.0000], [5.4812, 2.0588, 0.0000], [-4.5666, 0.0000, 5.5738]],
  "species": ["La", "La", "Co", "Co", "Ge", "Ge", "H"],
  "frac_coords": [[0.0452, 0.0452, 0.2872], [0.9548, 0.9548, 0.7128], [0.3069, 0.3069, 0.9233], [0.6931, 0.6931, 0.0767], [0.3136, 0.3136, 0.2615], [0.6864, 0.6864, 0.7385], [0.5000, 0.5000, 0.0000]]
}

Record 10
{
  "formula": "Dy2CuNi",
  "functional": "PBE-GGA",
  "state": "optimized geometry",
  "sg": "P2_1/m, No. 11",
  "dos_at_fermi_per_ev_cell": 5.0,
  "formation_enthalpy_0k_mev_per_atom": -367,
  "lattice_angstrom": [[5.4169, 0.0000, 0.0000], [0.0000, 4.4093, 0.0000], [-2.5020, 0.0000, 6.9367]],
  "species": ["Dy", "Dy", "Dy", "Dy", "Cu", "Cu", "Ni", "Ni"],
  "frac_coords": [[0.2178, 0.2500, 0.4326], [0.2267, 0.2500, 0.9288], [0.7733, 0.7500, 0.0712], [0.7822, 0.7500, 0.5674], [0.3520, 0.7500, 0.2146], [0.6480, 0.2500, 0.7854], [0.3567, 0.7500, 0.7146], [0.6433, 0.2500, 0.2854]]
}

Record 11
{
  "formula": "ZrSiB",
  "functional": "PBE-GGA",
  "state": "optimized geometry",
  "sg": "Pmn2_1, No. 31",
  "e_tot_ev_per_atom": -7.247,
  "dos_at_fermi_per_ev_cell": 4.4,
  "lattice_angstrom": [[3.3630, 0.0000, 0.0000], [0.0000, 7.5477, 0.0000], [0.0000, 0.0000, 6.8611]],
  "species": ["Zr", "Zr", "Zr", "Zr", "Si", "Si", "Si", "Si", "B", "B", "B", "B"],
  "frac_coords": [[0.0000, 0.2057, 0.0000], [0.0000, 0.2094, 0.5387], [0.5000, 0.7906, 0.0387], [0.5000, 0.7943, 0.5000], [0.0000, 0.5111, 0.3082], [0.0000, 0.9090, 0.7692], [0.5000, 0.0910, 0.2692], [0.5000, 0.4889, 0.8082], [0.0000, 0.5268, 0.9910], [0.0000, 0.9444, 0.2735], [0.5000, 0.0556, 0.7735], [0.5000, 0.4732, 0.4910]]
}

Record 12
{
  "formula": "KZn2P",
  "functional": "PBE-GGA",
  "state": "optimized geometry",
  "sg": "Imm2, No. 44",
  "dos_at_fermi_per_ev_cell": 1.0,
  "formation_enthalpy_0k_mev_per_atom": 88,
  "lattice_angstrom": [[-2.0440, 3.1892, 4.1892], [2.0440, -3.1892, 4.1892], [2.0440, 3.1892, -4.1892]],
  "species": ["K", "Zn", "Zn", "P"],
  "frac_coords": [[0.0000, 0.0000, 0.0000], [0.4344, 0.4344, 0.0000], [0.6757, 0.1757, 0.5000], [0.3175, 0.8175, 0.5000]]
}